DFT (PBE) results for a relaxed structure of K2Np2CuSe6.

formation energy (no corrections) = -0.955 eV/atom

The structure in POSCAR format:
```
K2Np2CuSe6
1.0
7.2337 -0.2739 0.0650
-3.8134 6.1530 0.0650
-1.2143 -2.0873 7.8307
K Np Cu Se
2 2 1 6
direct
0.8445 0.1555 0.0000 K
0.1555 0.8445 0.0000 K
0.3369 0.6631 0.5000 Np
0.6631 0.3369 0.5000 Np
0.0000 0.0000 0.5000 Cu
0.7572 0.7572 0.6751 Se
0.0578 0.4178 0.7010 Se
0.2428 0.2428 0.3249 Se
0.4178 0.0578 0.7010 Se
0.9422 0.5822 0.2990 Se
0.5822 0.9422 0.2990 Se
```